DFT (PBE-GGA) results for crystalline LaAgB4 at its relaxed geometry.

```
6
Lattice="-2.768 0.642 1.546 0.052 -2.186 -2.384 1.578 -5.565 5.137" Properties=species:S:1:pos:R:3 pbc="T T T"
Ag 0.789 -2.783 2.569
B -1.401 -1.806 1.625
B -0.462 -2.748 0.315
B -0.677 -4.361 3.984
B 0.263 -5.303 2.674
La 0.000 0.000 0.000
```

Summary:
Energy above the most stable polymorph in this dataset in meV/atom: 69
Mass density in Mg/m³: 6.87

---

DFT (PBE-GGA) results for crystalline LaAgB4 at its relaxed geometry.

```
6
Lattice="-2.125 -1.082 4.796 1.691 3.781 3.396 -2.926 -1.041 -4.364" Properties=species:S:1:pos:R:3 pbc="T T T"
Ag 0.000 0.000 0.000
B -1.715 -0.021 2.129
B 0.187 2.448 1.543
B -3.546 -0.790 2.285
B -1.644 1.679 1.699
La -0.217 1.350 4.096
```

Summary:
Energy above the most stable polymorph in this dataset in meV/atom: 0
Mass density in Mg/m³: 6.43

---

DFT (PBE-GGA) results for crystalline LaAgB at its relaxed geometry.

```
3
Lattice="0.185 -2.405 3.920 -3.046 0.822 3.351 -3.264 -3.101 0.954" Properties=species:S:1:pos:R:3 pbc="T T T"
Ag 0.000 0.000 0.000
B -1.531 -1.171 2.056
La -4.594 -3.512 6.168
```

Summary:
Energy above the most stable polymorph in this dataset in meV/atom: 0
Mass density in Mg/m³: 6.21

---

DFT (PBE-GGA) results for crystalline LaAgB at its relaxed geometry.

```
3
Lattice="0.887 -3.894 2.572 -1.643 -0.337 4.444 -3.515 -3.032 1.009" Properties=species:S:1:pos:R:3 pbc="T T T"
Ag -1.068 -1.816 2.006
B -3.204 -5.447 6.019
La 0.000 0.000 0.000
```

Summary:
Energy above the most stable polymorph in this dataset in meV/atom: 227
Mass density in Mg/m³: 5.64

---

DFT (PBE-GGA) results for crystalline Li2AgB at its relaxed geometry.

```
4
Lattice="1.228 -3.717 -1.006 2.332 -2.113 2.536 -1.508 -3.217 1.926" Properties=species:S:1:pos:R:3 pbc="T T T"
Ag 0.513 -2.262 0.864
B 1.026 -4.523 1.728
Li 0.000 0.000 0.000
Li 1.539 -6.785 2.592
```

Summary:
Mass density in Mg/m³: 4.72
Electronic total energy in eV/cell: -12.23

---

DFT (PBE-GGA) results for crystalline LiAg2B at its relaxed geometry.

```
4
Lattice="0.000 3.053 3.053 3.053 0.000 3.053 3.053 3.053 0.000" Properties=species:S:1:pos:R:3 pbc="T T T"
Ag 0.000 0.000 0.000
Ag 4.579 4.579 4.579
B 3.053 3.053 3.053
Li 1.526 1.526 1.526
```

Summary:
Mass density in Mg/m³: 6.81
Electronic total energy in eV/cell: -11.84

---

Look up the mass density of the sixth one.
6.81 Mg/m³